(1)
# In2CuF | Alexandria via LeMat-Bulk | GGA-PBEsol | optimized geometry
# Energy relative to the elements, uncorrected   -0.538 eV per atom
# Volume   16.9 Å³ per atom
data_In2CuF
_chemical_formula_sum 'In2 Cu1 F1'
_cell_length_a 4.5712
_cell_length_b 4.5712
_cell_length_c 4.5712
_cell_angle_alpha 60.00
_cell_angle_beta 60.00
_cell_angle_gamma 60.00
_space_group_name_H-M_alt 'P 1'
_space_group_IT_number 1
_space_group_name_Hall 'P 1'
loop_
_atom_site_label
_atom_site_type_symbol
_atom_site_fract_x
_atom_site_fract_y
_atom_site_fract_z
F1 F 0.0000 0.0000 0.0000
Cu1 Cu 0.5000 0.5000 0.5000
In1 In 0.2500 0.2500 0.2500
In2 In 0.7500 0.7500 0.7500

---

(2)
# SiTe2W | Alexandria via LeMat-Bulk | GGA-PBEsol | optimized geometry
# Energy relative to the elements, uncorrected   0.090 eV per atom
# Volume   20.8 Å³ per atom
data_SiTe2W
_chemical_formula_sum 'Si1 Te2 W1'
_cell_length_a 3.3015
_cell_length_b 3.3015
_cell_length_c 7.6224
_cell_angle_alpha 90.00
_cell_angle_beta 90.00
_cell_angle_gamma 90.00
_space_group_name_H-M_alt 'P 1'
_space_group_IT_number 1
_space_group_name_Hall 'P 1'
loop_
_atom_site_label
_atom_site_type_symbol
_atom_site_fract_x
_atom_site_fract_y
_atom_site_fract_z
Si1 Si 0.5000 0.5000 0.7044
Te1 Te 0.0000 0.0000 0.9197
Te2 Te 0.5000 0.5000 0.3257
W1 W 0.0000 0.0000 0.5502